No. 1
Density functional theory data (PBE-GGA) for a relaxed structure of PuCuBi2O8.

Lattice parameters (Å, degrees): 5.063 5.100 7.026 84.36 95.08 94.89
Site moments in Bohr magnetons follow the coordinates.
Fractional coordinates of all 12 atoms:
O 0.799 0.218 0.827  -0.07
Bi 0.447 0.551 0.731  -0.01
O 0.721 0.724 0.500  -0.03
Pu 0.000 0.000 0.000  1.56
O 0.855 0.147 0.260  -0.04
O 0.201 0.782 0.173  -0.07
O 0.304 0.289 0.003  -0.08
Cu 0.000 0.000 0.500  0.02
O 0.145 0.853 0.740  -0.04
O 0.279 0.276 0.500  -0.03
Bi 0.553 0.449 0.269  -0.01
O 0.696 0.711 0.997  -0.08

Output
**Raw total energy**: -6.9183 eV/atom
**Fermi-level density of states**: 2.62 states/eV/f.u.
**Symmetry**: P-1

No. 2
Density functional theory data (PBE-GGA) for a relaxed structure of PuZr2ScP4.

Lattice parameters (Å, degrees): 3.801 6.549 6.619 109.26 90.00 90.00
Site moments in Bohr magnetons follow the coordinates.
Fractional coordinates of all 8 atoms:
P 0.500 0.257 0.257  -0.05
P 0.000 0.254 0.747  -0.03
Zr 0.500 0.000 0.500  0.07
P 0.000 0.746 0.253  -0.03
Zr 0.000 0.500 0.500  0.03
P 0.500 0.743 0.743  -0.05
Sc 0.500 0.500 0.000  0.06
Pu 0.000 0.000 0.000  4.93

Output
**E_form**: -132.8 kJ per mole of atoms
**Fermi-level density of states**: 11.39 states/eV/f.u.
**Symmetry**: P2/m

No. 3
Density functional theory data (PBE-GGA) for a relaxed structure of FeAgIr2.

Lattice parameters (Å, degrees): 2.718 2.718 9.388 90.00 90.00 119.60
Site moments in Bohr magnetons follow the coordinates.
Fractional coordinates of all 4 atoms:
Ag 0.000 0.000 0.509  -0.01
Ir 0.500 0.500 0.239  -0.25
Ir 0.000 0.000 0.991  0.11
Fe 0.500 0.500 0.762  2.76

Output
**E_form**: 33.6 kJ per mole of atoms
**Distance to the lowest polymorph of the same formula**: 222.7 meV/atom
**Fermi-level density of states**: 5.27 states/eV/f.u.
**Symmetry**: Cmm2

No. 4
Density functional theory data (PBE-GGA) for a relaxed structure of YUP2.

Lattice parameters (Å, degrees): 3.864 3.864 7.350 74.76 74.76 60.00
Site moments in Bohr magnetons follow the coordinates.
Fractional coordinates of all 4 atoms:
P 0.083 0.083 0.752  -0.06
P 0.250 0.250 0.250  -0.06
U 0.498 0.498 0.507  2.35
Y 0.670 0.670 0.991  0.06

Output
**E_form**: -108.2 kJ per mole of atoms
**Distance to the lowest polymorph of the same formula**: 179.1 meV/atom
**Fermi-level density of states**: 4.79 states/eV/f.u.
**Symmetry**: R3m

No. 5
Density functional theory data (PBE-GGA) for a relaxed structure of K3Zr.

Lattice parameters (Å, degrees): 7.133 7.133 7.133 131.04 131.04 71.75
Site moments in Bohr magnetons follow the coordinates.
Fractional coordinates of all 4 atoms:
K 0.750 0.250 0.500  0.03
K 0.500 0.500 0.000  0.03
Zr 0.000 0.000 0.000  1.72
K 0.250 0.750 0.500  0.03

Output
**E_form**: 93.5 kJ per mole of atoms
**Distance to the lowest polymorph of the same formula**: 408.9 meV/atom
**Fermi-level density of states**: 9.23 states/eV/f.u.
**Symmetry**: I4/mmm

No. 6
Density functional theory data (PBE-GGA) for a relaxed structure of SbTe.

Lattice parameters (Å, degrees): 6.289 3.171 7.093 63.15 90.00 90.00
Fractional coordinates of all 4 atoms:
Te 0.500 0.374 0.376
Sb 0.000 0.876 0.874
Te 0.000 0.376 0.374
Sb 0.500 0.874 0.876

Output
**Distance to the lowest polymorph of the same formula**: 134.4 meV/atom
**Fermi-level density of states**: 1.09 states/eV/f.u.
**Symmetry**: P2_1/m

No. 7
Density functional theory data (PBE-GGA) for a relaxed structure of CaPC3.

Lattice parameters (Å, degrees): 3.746 3.746 3.746 90.00 90.00 90.00
Fractional coordinates of all 5 atoms:
C 0.000 0.000 0.500
C 0.000 0.500 0.000
Ca 0.500 0.500 0.500
C 0.500 0.000 0.000
P 0.000 0.000 0.000

Output
**E_form**: 135.0 kJ per mole of atoms
**Distance to the lowest polymorph of the same formula**: 0.0 meV/atom
**Fermi-level density of states**: 2.80 states/eV/f.u.
**Symmetry**: Pm-3m

No. 8
Density functional theory data (PBE-GGA) for a relaxed structure of Tb3ZrAg2.

Lattice parameters (Å, degrees): 3.554 3.554 12.038 90.00 90.00 90.00
Fractional coordinates of all 6 atoms:
Zr 0.500 0.500 0.500
Tb 0.000 0.000 0.685
Tb 0.000 0.000 0.000
Ag 0.500 0.500 0.157
Tb 0.000 0.000 0.315
Ag 0.500 0.500 0.843

Output
**E_form**: -15.5 kJ per mole of atoms
**Fermi-level density of states**: 6.84 states/eV/f.u.
**Symmetry**: P4/mmm

No. 9
Density functional theory data (PBE-GGA) for a relaxed structure of ScAl2Os.

Lattice parameters (Å, degrees): 2.967 3.755 5.859 90.00 90.00 90.00
Fractional coordinates of all 4 atoms:
Al 0.000 0.000 0.035
Al 0.000 0.000 0.465
Os 0.500 0.500 0.250
Sc 0.500 0.500 0.750

Output
**E_form**: -28.8 kJ per mole of atoms
**Fermi-level density of states**: 2.82 states/eV/f.u.
**Symmetry**: Pmmm

No. 10
Density functional theory data (PBE-GGA) for a relaxed structure of FeBi.

Lattice parameters (Å, degrees): 11.064 11.064 3.344 90.00 90.00 120.00
Site moments in Bohr magnetons follow the coordinates.
Fractional coordinates of all 12 atoms:
Fe 0.588 0.038 0.250  2.42
Fe 0.412 0.962 0.750  2.42
Fe 0.450 0.412 0.250  2.42
Bi 0.838 0.267 0.250  -0.13
Bi 0.267 0.429 0.750  -0.13
Fe 0.962 0.550 0.250  2.42
Fe 0.550 0.588 0.750  2.42
Fe 0.038 0.450 0.750  2.42
Bi 0.429 0.162 0.250  -0.13
Bi 0.571 0.838 0.750  -0.13
Bi 0.733 0.571 0.250  -0.13
Bi 0.162 0.733 0.750  -0.13

Output
**E_form**: 52.4 kJ per mole of atoms
**Fermi-level density of states**: 1.72 states/eV/f.u.
**Symmetry**: P6_3/m

No. 11
Density functional theory data (PBE-GGA) for a relaxed structure of CsSc.

Lattice parameters (Å, degrees): 12.041 12.041 12.041 90.00 90.00 90.00
Site moments in Bohr magnetons follow the coordinates.
Fractional coordinates of all 16 atoms:
Sc 0.414 0.414 0.586  0.76
Cs 0.711 0.711 0.289  0.02
Sc 0.914 0.914 0.086  0.76
Cs 0.711 0.289 0.711  0.02
Cs 0.211 0.211 0.789  0.02
Sc 0.586 0.586 0.586  0.76
Cs 0.211 0.789 0.211  0.02
Cs 0.789 0.211 0.211  0.02
Sc 0.586 0.414 0.414  0.76
Sc 0.086 0.086 0.086  0.76
Sc 0.414 0.586 0.414  0.76
Cs 0.789 0.789 0.789  0.02
Sc 0.914 0.086 0.914  0.76
Sc 0.086 0.914 0.914  0.76
Cs 0.289 0.711 0.711  0.02
Cs 0.289 0.289 0.289  0.02

Output
**E_form**: 90.2 kJ per mole of atoms
**Fermi-level density of states**: 3.87 states/eV/f.u.
**Symmetry**: I-43m

No. 12
Density functional theory data (PBE-GGA) for a relaxed structure of CeTm5Hg4.

Lattice parameters (Å, degrees): 3.641 3.641 19.430 90.00 90.00 90.00
Site moments in Bohr magnetons follow the coordinates.
Fractional coordinates of all 10 atoms:
Tm 0.500 0.500 0.309  0.00
Hg 0.000 0.000 0.404  0.00
Tm 0.500 0.500 0.500  0.00
Hg 0.000 0.000 0.789  0.00
Tm 0.500 0.500 0.117  0.00
Hg 0.000 0.000 0.596  0.00
Ce 0.000 0.000 0.000  0.30
Tm 0.500 0.500 0.883  0.00
Hg 0.000 0.000 0.211  0.00
Tm 0.500 0.500 0.691  0.00

Output
**E_form**: -34.9 kJ per mole of atoms
**Fermi-level density of states**: 10.24 states/eV/f.u.
**Symmetry**: P4/mmm